KRb2Sb2Au3, relaxed, DFT PBE; total DFT energy (no corrections) = -3.091 eV/atom; symmetry = R-3m, No. 166; crystal system = trigonal
1.0
-7.495 -3.211 -1.275
-4.011 -6.418 3.292
-6.743 -0.606 4.719
Au Rb K Sb
3 2 1 2
Cartesian
-7.119 -1.909 1.722 Au
-5.377 -3.512 4.006 Au
-5.753 -4.814 1.009 Au
-16.767 -9.403 6.190 Rb
-1.483 -0.832 0.547 Rb
-9.125 -5.117 3.368 K
-13.760 -7.717 5.080 Sb
-4.490 -2.518 1.657 Sb

Sm2Re3B6, relaxed, DFT PBE; M_tot = 0.01 Bohr magnetons per cell; total DFT energy (no corrections) = -8.367 eV/atom; symmetry = C2/c, No. 15; crystal system = monoclinic
1.0
-2.113 2.980 5.100
-4.133 -3.940 -2.597
2.725 -5.580 4.302
Re B Sm
6 12 4
Cartesian
-5.555 -1.991 1.918 Re
-3.820 -3.507 5.486 Re
0.299 -3.034 1.319 Re
-2.615 -2.469 1.667 Re
-0.906 -4.072 5.138 Re
2.034 -4.550 4.887 Re
0.570 -3.394 3.572 B
-4.290 -2.194 0.010 B
0.769 -4.347 6.795 B
-2.541 -5.295 6.098 B
-2.064 -2.026 5.451 B
-1.111 -3.684 2.934 B
-4.091 -3.147 3.233 B
-1.458 -4.515 1.354 B
-2.410 -2.857 3.871 B
-2.286 -0.253 1.496 B
-0.980 -1.246 0.707 B
-1.235 -6.288 5.309 B
-0.444 -0.870 3.401 Sm
0.218 -6.057 2.887 Sm
-3.077 -5.670 3.404 Sm
-3.740 -0.484 3.918 Sm